# Sr2AlCd6In

Sr2AlCd6In after structural relaxation (PBE-GGA, Alexandria).

Lattice parameters (Å, degrees): 13.2847 13.2847 13.2847 31.50 31.50 31.50
Closest atoms and distances in Å follow each position.
Sites, in units of the cell vectors:
Sr  0.1035  0.1035  0.1035  12 Cd 3.77-3.86, 1 Al 3.92, 3 In 4.19
Sr  0.2777  0.2777  0.2777  12 Cd 3.55-3.77
Sr  0.7223  0.7223  0.7223  12 Cd 3.55-3.77
Sr  0.8965  0.8965  0.8965  12 Cd 3.77-3.86, 1 Al 3.92, 3 In 4.19
Al  0.0000  0.0000  0.0000  6 Cd 2.66
Al  0.5000  0.5000  0.5000  6 Cd 2.71, 2 In 2.84
Cd  0.0725  0.6716  0.6716  1 Al 2.71, 2 Cd 2.89
Cd  0.2235  0.2235  0.6364  1 Al 2.66, 1 In 2.96, 2 Cd 2.98
Cd  0.2235  0.6364  0.2235  1 Al 2.66, 1 In 2.96, 2 Cd 2.98
Cd  0.3284  0.3284  0.9275  1 Al 2.71, 2 Cd 2.89
Cd  0.3284  0.9275  0.3284  1 Al 2.71, 2 Cd 2.89
Cd  0.3636  0.7765  0.7765  1 Al 2.66, 1 In 2.96, 2 Cd 2.98
Cd  0.6364  0.2235  0.2235  1 Al 2.66, 1 In 2.96, 2 Cd 2.98
Cd  0.6716  0.0725  0.6716  1 Al 2.71, 2 Cd 2.89
Cd  0.6716  0.6716  0.0725  1 Al 2.71, 2 Cd 2.89
Cd  0.7765  0.3636  0.7765  1 Al 2.66, 1 In 2.96, 2 Cd 2.98
Cd  0.7765  0.7765  0.3636  1 Al 2.66, 1 In 2.96, 2 Cd 2.98
Cd  0.9275  0.3284  0.3284  1 Al 2.71, 2 Cd 2.89
In  0.4249  0.4249  0.4249  1 Al 2.84, 6 Cd 2.96-3.06
In  0.5751  0.5751  0.5751  1 Al 2.84, 6 Cd 2.96-3.06

Computed properties:
calculated density	5.794	Mg/m³
energy relative to the elements	-0.128	eV per atom
spin magnetization	0.00	μB/atom
calculated volume	28.4	Å³/atom

# Ca5Cd2Au2

Ca5Cd2Au2 after structural relaxation (PBE-GGA, Alexandria).

Lattice parameters (Å, degrees): 9.1331 9.1331 8.0339 90.00 90.00 51.93
Closest atoms and distances in Å follow each position.
Sites, in units of the cell vectors:
Ca  0.0000  0.0000  0.0000  4 Au 3.15-3.16, 2 Cd 3.49
Ca  0.0451  0.6980  0.6720  3 Au 3.09-3.23, 3 Cd 3.26-3.28
Ca  0.1980  0.5451  0.1720  3 Au 3.09-3.23, 3 Cd 3.26-3.28
Ca  0.3020  0.9549  0.6720  3 Au 3.09-3.23, 3 Cd 3.26-3.28
Ca  0.4549  0.8020  0.1720  3 Au 3.09-3.23, 3 Cd 3.26-3.28
Ca  0.5000  0.5000  0.5000  4 Au 3.15-3.16, 2 Cd 3.49
Ca  0.5451  0.1980  0.8280  3 Au 3.09-3.23, 3 Cd 3.26-3.28
Ca  0.6980  0.0451  0.3280  3 Au 3.09-3.23, 3 Cd 3.26-3.28
Ca  0.8020  0.4549  0.8280  3 Au 3.09-3.23, 3 Cd 3.26-3.28
Ca  0.9549  0.3020  0.3280  3 Au 3.09-3.23, 3 Cd 3.26-3.28
Cd  0.2127  0.2127  0.0000  7 Ca 3.26-3.49
Cd  0.2873  0.2873  0.5000  7 Ca 3.26-3.49
Cd  0.7127  0.7127  0.5000  7 Ca 3.26-3.49
Cd  0.7873  0.7873  0.0000  7 Ca 3.26-3.49
Au  0.1270  0.8730  0.3714  1 Au 2.90, 8 Ca 3.09-3.23
Au  0.3730  0.6270  0.8714  1 Au 2.90, 8 Ca 3.09-3.23
Au  0.6270  0.3730  0.1286  1 Au 2.90, 8 Ca 3.09-3.23
Au  0.8730  0.1270  0.6286  1 Au 2.90, 8 Ca 3.09-3.23

Computed properties:
calculated density	5.157	Mg/m³
energy relative to the elements	-0.506	eV per atom
spin magnetization	0.00	μB/atom
calculated volume	29.3	Å³/atom

# Li4ZnGa3

Li4ZnGa3 after structural relaxation (PBE-GGA, Alexandria).

Lattice parameters (Å, degrees): 8.7345 8.7345 8.7345 154.87 153.60 36.77
Closest atoms and distances in Å follow each position.
Sites, in units of the cell vectors:
Li  0.1254  0.1254  0.0000  4 Li 2.75, 6 Ga 2.80-2.88, 2 Zn 2.82
Li  0.3744  0.3744  0.0000  4 Li 2.75, 6 Ga 2.81-2.86, 2 Zn 2.88
Li  0.6256  0.6256  0.0000  4 Li 2.75, 6 Ga 2.81-2.86, 2 Zn 2.88
Li  0.8746  0.8746  0.0000  4 Li 2.75, 6 Ga 2.80-2.88, 2 Zn 2.82
Zn  0.0000  0.5000  0.5000  4 Ga 2.75, 8 Li 2.82-2.88
Ga  0.2492  0.7492  0.5000  4 Ga 2.75, 8 Li 2.80-2.88
Ga  0.5000  0.0000  0.5000  4 Zn 2.75, 8 Li 2.82-2.88
Ga  0.7508  0.2508  0.5000  4 Ga 2.75, 8 Li 2.80-2.88

Computed properties:
calculated density	3.996	Mg/m³
energy relative to the elements	-0.245	eV per atom
spin magnetization	0.00	μB/atom
calculated volume	15.7	Å³/atom

# ZnNiRh2N

ZnNiRh2N after structural relaxation (PBE-GGA, Alexandria).

Lattice parameters (Å, degrees): 4.0908 4.0908 3.7015 90.00 90.00 90.00
Closest atoms and distances in Å follow each position.
Sites, in units of the cell vectors:
Zn  0.0000  0.0000  0.0000  8 Rh 2.76, 4 Ni 2.89
Ni  0.5000  0.5000  0.0000  2 N 1.85
Rh  0.0000  0.5000  0.5000  2 N 2.05
Rh  0.5000  0.0000  0.5000  2 N 2.05
N  0.5000  0.5000  0.5000  2 Ni 1.85, 4 Rh 2.05

Computed properties:
calculated density	9.220	Mg/m³
formation energy (no corrections)	-0.052	eV/atom
spin magnetization	0.00	μB/atom
calculated volume	12.4	Å³/atom

# AcPm5Pr2Nd

AcPm5Pr2Nd after structural relaxation (PBE-GGA, Alexandria).

Lattice parameters (Å, degrees): 10.2689 10.2689 10.2689 127.87 127.87 76.83
Closest atoms and distances in Å follow each position.
Sites, in units of the cell vectors:
Ac  0.2500  0.7500  0.5000  4 Pm 3.28
Ac  0.7500  0.2500  0.5000  4 Pm 3.28
Pm  0.0000  0.0000  0.0000  4 Pr 3.62, 8 Pm 3.88, 2 Nd 4.02
Pm  0.0773  0.5773  0.9228  1 Pr 3.08, 1 Ac 3.28
Pm  0.1544  0.0773  0.5000  1 Pr 3.08, 1 Ac 3.28
Pm  0.3456  0.8456  0.9228  1 Pr 3.08, 1 Ac 3.28
Pm  0.4227  0.3456  0.5000  1 Pr 3.08, 1 Ac 3.28
Pm  0.5000  0.5000  0.0000  4 Pr 3.62, 8 Pm 3.88, 2 Nd 4.02
Pm  0.5773  0.6544  0.5000  1 Pr 3.08, 1 Ac 3.28
Pm  0.6544  0.1544  0.0772  1 Pr 3.08, 1 Ac 3.28
Pm  0.8456  0.9227  0.5000  1 Pr 3.08, 1 Ac 3.28
Pm  0.9227  0.4227  0.0772  1 Pr 3.08, 1 Ac 3.28
Pr  0.1164  0.3836  0.5000  1 Pr 2.97, 2 Pm 3.08
Pr  0.3836  0.8836  0.2672  1 Pr 2.97, 2 Pm 3.08
Pr  0.6164  0.1164  0.7328  1 Pr 2.97, 2 Pm 3.08
Pr  0.8836  0.6164  0.5000  1 Pr 2.97, 2 Pm 3.08
Nd  0.2500  0.2500  0.0000  10 Pm 3.73-4.02
Nd  0.7500  0.7500  0.0000  10 Pm 3.73-4.02

Computed properties:
calculated density	6.986	Mg/m³
energy relative to the elements	0.255	eV per atom
spin magnetization	0.00	μB/atom
calculated volume	36.4	Å³/atom

# TbCd2Ga

TbCd2Ga after structural relaxation (PBE-GGA, Alexandria).

Lattice parameters (Å, degrees): 11.1676 11.1676 11.1676 16.73 16.73 16.73
Closest atoms and distances in Å follow each position.
Sites, in units of the cell vectors:
Tb  0.0000  0.0000  0.0000  2 Cd 3.14, 6 Tb 3.25
Cd  0.0950  0.0950  0.0950  3 Ga 3.02, 1 Tb 3.14, 6 Cd 3.25
Cd  0.9050  0.9050  0.9050  3 Ga 3.02, 1 Tb 3.14, 6 Cd 3.25
Ga  0.5000  0.5000  0.5000  6 Cd 3.02, 6 Ga 3.25

Computed properties:
calculated density	7.477	Mg/m³
energy relative to the elements	0.173	eV per atom
spin magnetization	0.00	μB/atom
calculated volume	25.2	Å³/atom
offset from the most stable computed form	0.520	eV per atom

# RbLiPbCl6

RbLiPbCl6 after structural relaxation (PBE-GGA, Alexandria).

Lattice parameters (Å, degrees): 6.7453 6.7453 7.3537 90.00 90.00 120.00
Closest atoms and distances in Å follow each position.
Sites, in units of the cell vectors:
Rb  0.0000  0.0000  0.0000  6 Cl 3.35
Li  0.3333  0.6667  0.5000  6 Cl 2.60
Pb  0.6667  0.3333  0.5000  6 Cl 2.58
Cl  0.3758  0.0023  0.7019  1 Pb 2.58, 1 Li 2.60
Cl  0.3758  0.3734  0.2981  1 Pb 2.58, 1 Li 2.60
Cl  0.6266  0.0023  0.2981  1 Pb 2.58, 1 Li 2.60
Cl  0.6266  0.6242  0.7019  1 Pb 2.58, 1 Li 2.60
Cl  0.9977  0.3734  0.7019  1 Pb 2.58, 1 Li 2.60
Cl  0.9977  0.6242  0.2981  1 Pb 2.58, 1 Li 2.60

Computed properties:
calculated density	2.936	Mg/m³
formation energy (no corrections)	-1.223	eV/atom
spin magnetization	0.00	μB/atom
calculated volume	32.2	Å³/atom

# HgRu2

HgRu2 after structural relaxation (PBE-GGA, Alexandria).

Lattice parameters (Å, degrees): 5.2416 5.2416 5.2416 60.00 60.00 60.00
Closest atoms and distances in Å follow each position.
Sites, in units of the cell vectors:
Hg  0.1250  0.1250  0.1250  12 Ru 3.07, 4 Hg 3.21
Hg  0.8750  0.8750  0.8750  12 Ru 3.07, 4 Hg 3.21
Ru  0.0000  0.5000  0.5000  6 Ru 2.62
Ru  0.5000  0.0000  0.5000  6 Ru 2.62
Ru  0.5000  0.5000  0.0000  6 Ru 2.62
Ru  0.5000  0.5000  0.5000  6 Ru 2.62

Computed properties:
calculated density	13.134	Mg/m³
energy relative to the elements	0.719	eV per atom
spin magnetization	0.54	μB/atom
calculated volume	17.0	Å³/atom
offset from the most stable computed form	0.407	eV per atom

# UTi2Al

UTi2Al after structural relaxation (PBE-GGA, Alexandria).

Lattice parameters (Å, degrees): 4.4418 4.4418 3.5855 90.00 90.00 90.00
Closest atoms and distances in Å follow each position.
Sites, in units of the cell vectors:
U  0.0000  0.0000  0.0000  8 Ti 2.85, 4 Al 3.14
Ti  0.0000  0.5000  0.5000  4 U 2.85, 4 Al 2.85, 4 Ti 3.14
Ti  0.5000  0.0000  0.5000  4 U 2.85, 4 Al 2.85, 4 Ti 3.14
Al  0.5000  0.5000  0.0000  8 Ti 2.85, 4 U 3.14

Computed properties:
calculated density	8.468	Mg/m³
energy relative to the elements	-0.062	eV per atom
spin magnetization	0.36	μB/atom
calculated volume	17.7	Å³/atom
offset from the most stable computed form	0.000	eV per atom

# Ca3Cu2Ni7

Ca3Cu2Ni7 after structural relaxation (PBE-GGA, Alexandria).

Lattice parameters (Å, degrees): 8.6290 8.6290 8.6290 33.89 33.89 33.89
Closest atoms and distances in Å follow each position.
Sites, in units of the cell vectors:
Ca  0.0000  0.0000  0.0000  6 Cu 2.90, 12 Ni 3.22
Ca  0.1404  0.1404  0.1404  12 Ni 2.88-3.06, 3 Ca 3.17
Ca  0.8596  0.8596  0.8596  12 Ni 2.88-3.06, 3 Ca 3.17
Cu  0.3328  0.3328  0.3328  6 Ni 2.48-2.49
Cu  0.6672  0.6672  0.6672  6 Ni 2.48-2.49
Ni  0.0840  0.5819  0.5819  2 Cu 2.48-2.49, 5 Ni 2.50-2.53
Ni  0.4181  0.4181  0.9160  2 Cu 2.48-2.49, 5 Ni 2.50-2.53
Ni  0.4181  0.9160  0.4181  2 Cu 2.48-2.49, 5 Ni 2.50-2.53
Ni  0.5000  0.5000  0.5000  6 Ni 2.51
Ni  0.5819  0.0840  0.5819  2 Cu 2.48-2.49, 5 Ni 2.50-2.53
Ni  0.5819  0.5819  0.0840  2 Cu 2.48-2.49, 5 Ni 2.50-2.53
Ni  0.9160  0.4181  0.4181  2 Cu 2.48-2.49, 5 Ni 2.50-2.53

Computed properties:
calculated density	6.138	Mg/m³
energy relative to the elements	-0.172	eV per atom
spin magnetization	0.00	μB/atom
calculated volume	14.8	Å³/atom